Record 1
An optimized crystal structure of BaIn3Pd2. Source: Alexandria via LeMat-Bulk, functional GGA-PBE.

Summary:
Total magnetization   0.0 μB/cell
DFT formation energy   -0.31 eV per atom

Structure (POSCAR):
```
BaIn3Pd2
1.0
6.589 0.000 0.000
3.294 5.706 0.000
3.294 1.902 8.492
Pd Ba In
4 2 6
Direct
0.000 0.000 0.000
0.500 0.500 0.000
0.000 0.500 0.000
0.500 0.000 0.000
0.794 0.794 0.618
0.206 0.206 0.382
0.751 0.261 0.236
0.739 0.249 0.764
0.249 0.249 0.764
0.261 0.751 0.236
0.751 0.751 0.236
0.249 0.739 0.764
```


Record 2
An optimized crystal structure of PmAlAg. Source: Alexandria via LeMat-Bulk, functional GGA-PBE.

Summary:
Total magnetization   0.0 μB/cell
DFT formation energy   -0.23 eV per atom
Relative energy among the computed polymorphs   160 meV/atom

Structure (POSCAR):
```
PmAlAg
1.0
3.365 0.000 0.000
0.000 3.365 0.000
-1.682 -1.682 5.844
Ag Al Pm
1 1 1
Direct
0.592 0.592 0.184
0.972 0.972 0.945
0.286 0.286 0.571
```


Record 3
An optimized crystal structure of CaLaMg6. Source: Alexandria via LeMat-Bulk, functional GGA-PBE.

Summary:
Total magnetization   0.0 μB/cell
DFT formation energy   -0.07 eV per atom

Structure (POSCAR):
```
CaLaMg6
1.0
-0.823 -3.016 -4.215
5.742 2.345 -2.799
0.672 -5.568 3.853
Mg La Ca
6 1 1
Direct
0.500 0.438 0.121
0.000 0.585 0.415
0.500 0.879 0.562
0.000 0.624 0.944
0.500 0.918 0.082
0.000 0.056 0.376
0.000 0.105 0.895
0.500 0.395 0.605
```